# 1
# Er6Ga2Pt | Alexandria via LeMat-Bulk | GGA-PBE | optimized geometry
data_Er6Ga2Pt
_chemical_formula_sum 'Er12 Ga4 Pt2'
_cell_length_a 6.0373
_cell_length_b 8.2206
_cell_length_c 10.9892
_cell_angle_alpha 90.00
_cell_angle_beta 120.01
_cell_angle_gamma 90.00
_space_group_name_H-M_alt 'P 1 21/c 1'
_space_group_IT_number 14
loop_
_space_group_symop_operation_xyz
'x,y,z'
'-x,-y,-z'
'-x,y+1/2,-z+1/2'
'x,-y+1/2,z+1/2'
loop_
_atom_site_label
_atom_site_type_symbol
_atom_site_fract_x
_atom_site_fract_y
_atom_site_fract_z
Er1 Er 0.0641 0.1734 0.4406
Er2 Er 0.3312 0.6790 0.4410
Er3 Er 0.3899 0.0333 0.2694
Ga1 Ga 0.1805 0.1255 0.7521
Pt1 Pt 0.0000 0.0000 0.0000
# * E: -4.88 eV/atom
# * ΔH_f (0 K): -0.49 eV per atom

# 2
# BeAgCl | Alexandria via LeMat-Bulk | GGA-PBE | optimized geometry
data_BeAgCl
_chemical_formula_sum 'Be1 Ag1 Cl1'
_cell_length_a 3.1425
_cell_length_b 3.1425
_cell_length_c 6.4124
_cell_angle_alpha 90.00
_cell_angle_beta 90.00
_cell_angle_gamma 120.00
_space_group_name_H-M_alt 'P 3 m 1'
_space_group_IT_number 156
loop_
_space_group_symop_operation_xyz
'x,y,z'
'-y,x-y,z'
'-x+y,-x,z'
'-y,-x,z'
'-x+y,y,z'
'x,x-y,z'
loop_
_atom_site_label
_atom_site_type_symbol
_atom_site_fract_x
_atom_site_fract_y
_atom_site_fract_z
Be1 Be 0.0000 0.0000 0.0000
Ag1 Ag 0.3333 0.6667 0.7308
Cl1 Cl 0.6667 0.3333 0.1923
# * E: -3.02 eV/atom
# * raw formation energy: -0.21 eV/atom

# 3
# Rb3MnBr6 | Alexandria via LeMat-Bulk | GGA-PBE | optimized geometry
data_Rb3MnBr6
_chemical_formula_sum 'Rb18 Mn6 Br36'
_cell_length_a 13.3191
_cell_length_b 13.3191
_cell_length_c 16.0826
_cell_angle_alpha 90.00
_cell_angle_beta 90.00
_cell_angle_gamma 120.00
_space_group_name_H-M_alt 'R -3'
_space_group_IT_number 148
_space_group_name_Hall '-R 3'
loop_
_atom_site_label
_atom_site_type_symbol
_atom_site_fract_x
_atom_site_fract_y
_atom_site_fract_z
Rb1 Rb 0.0495 0.2713 0.2050
Mn1 Mn 0.0000 0.0000 0.0000
Mn2 Mn 0.0000 0.0000 0.5000
Br1 Br 0.0114 0.1644 0.4075
Br2 Br 0.0329 0.1735 0.9078
# * E: -3.50 eV/atom
# * raw formation energy: -1.29 eV/atom

# 4
# AlC2F | Alexandria via LeMat-Bulk | GGA-PBE | optimized geometry
data_AlC2F
_chemical_formula_sum 'Al4 C8 F4'
_cell_length_a 5.3398
_cell_length_b 5.3398
_cell_length_c 5.3398
_cell_angle_alpha 90.00
_cell_angle_beta 90.00
_cell_angle_gamma 90.00
_space_group_name_H-M_alt 'F m -3 m'
_space_group_IT_number 225
_space_group_name_Hall '-F 4 2 3'
loop_
_atom_site_label
_atom_site_type_symbol
_atom_site_fract_x
_atom_site_fract_y
_atom_site_fract_z
Al1 Al 0.0000 0.0000 0.0000
C1 C 0.2500 0.2500 0.2500
F1 F 0.0000 0.0000 0.5000
# * E: -4.26 eV/atom
# * raw formation energy: 1.75 eV/atom

# 5
# CuSiB | Alexandria via LeMat-Bulk | GGA-PBE | optimized geometry
data_CuSiB
_chemical_formula_sum 'Cu4 Si4 B4'
_cell_length_a 6.2815
_cell_length_b 3.6345
_cell_length_c 6.0889
_cell_angle_alpha 90.00
_cell_angle_beta 110.12
_cell_angle_gamma 90.00
_space_group_name_H-M_alt 'C 1 2/m 1'
_space_group_IT_number 12
loop_
_space_group_symop_operation_xyz
'x,y,z'
'-x,-y,-z'
'-x,y,-z'
'x,-y,z'
'x+1/2,y+1/2,z'
'-x+1/2,-y+1/2,-z'
'-x+1/2,y+1/2,-z'
'x+1/2,-y+1/2,z'
loop_
_atom_site_label
_atom_site_type_symbol
_atom_site_fract_x
_atom_site_fract_y
_atom_site_fract_z
Cu1 Cu 0.1232 0.0000 0.3698
Si1 Si 0.1177 0.5000 0.8528
B1 B 0.2403 0.5000 0.2211
# * E: -5.21 eV/atom
# * raw formation energy: 0.19 eV/atom

# 6
# CaMg | Alexandria via LeMat-Bulk | GGA-PBE | optimized geometry
data_CaMg
_chemical_formula_sum 'Ca6 Mg6'
_cell_length_a 9.2990
_cell_length_b 9.2990
_cell_length_c 9.2990
_cell_angle_alpha 90.00
_cell_angle_beta 90.00
_cell_angle_gamma 90.00
_space_group_name_H-M_alt 'P m -3 n'
_space_group_IT_number 223
_space_group_name_Hall '-P 4n 2 3'
loop_
_atom_site_label
_atom_site_type_symbol
_atom_site_fract_x
_atom_site_fract_y
_atom_site_fract_z
Ca1 Ca 0.0000 0.2500 0.5000
Mg1 Mg 0.0000 0.5000 0.2500
# * E: -0.97 eV/atom
# * ΔH_f (0 K): 0.83 eV per atom